No. 1
The following is a DFT calculation (PBE) of crystalline BaCoRe at its relaxed geometry.

Unit cell a=7.628 b=3.940 c=11.087 alpha=90.00 beta=101.32 gamma=90.00
Space group Cm (No. 8)
Symmetry-distinct sites (fractional):
Ba (0.000, 0.000, 0.000) (multiplicity 2)
Ba (0.101, 0.500, 0.608) (multiplicity 2)
Co (0.171, 0.000, 0.366) (multiplicity 2)
Co (0.211, 0.500, 0.180) (multiplicity 2)
Re (0.370, 0.500, 0.383) (multiplicity 2)
Re (0.436, 0.000, 0.255) (multiplicity 2)

The calculation puts the calculated density at 7.775 Mg/m³. For the density of states at the Fermi level, the calculation gives 1.2001 states/eV/atom. The calculation puts the calculated total energy at -80.515 eV for the cell shown. The calculation puts the formation energy at 0.449 eV/atom.


No. 2
The following is a DFT calculation (PBE) of crystalline Ba2CoRe at its relaxed geometry.

Unit cell a=8.005 b=8.023 c=3.524 alpha=90.00 beta=90.15 gamma=90.00
Space group C2/m (No. 12)
Symmetry-distinct sites (fractional):
Ba (0.250, 0.250, 0.000) (multiplicity 4)
Co (0.000, 0.000, 0.500) (multiplicity 2)
Re (0.000, 0.500, 0.500) (multiplicity 2)

The calculation puts the calculated density at 7.627 Mg/m³. For the density of states at the Fermi level, the calculation gives 2.0932 states/eV/atom. The calculation puts the calculated total energy at -36.068 eV for the cell shown. The calculation puts the formation energy at 1.341 eV/atom.


No. 3
The following is a DFT calculation (PBE) of crystalline BaCo2ReTc at its relaxed geometry.

Unit cell a=4.615 b=4.615 c=4.973 alpha=90.00 beta=90.00 gamma=90.00
Space group P4/mmm (No. 123)
Symmetry-distinct sites (fractional):
Ba (0.000, 0.000, 0.000) (multiplicity 1)
Co (0.000, 0.500, 0.000) (multiplicity 2)
Re (0.500, 0.500, 0.500) (multiplicity 1)
Tc (0.000, 0.000, 0.500) (multiplicity 1)

The calculation puts the calculated density at 8.455 Mg/m³. For the density of states at the Fermi level, the calculation gives 1.4046 states/eV/atom. The calculation puts the calculated total energy at -23.647 eV for the cell shown. The calculation puts the formation energy at 3.060 eV/atom.


No. 4
The following is a DFT calculation (PBE) of crystalline BaCo2Rh at its relaxed geometry.

Unit cell a=4.2078 b=4.2078 c=16.9170 alpha=90.00 beta=90.00 gamma=120.00
Space group R3m (No. 160, hexagonal axes)
Symmetry-distinct sites (fractional):
Ba (0.0000, 0.0000, 0.0000) (multiplicity 3)
Co (0.0000, 0.0000, 0.4987) (multiplicity 3)
Co (0.0000, 0.0000, 0.8168) (multiplicity 3)
Rh (0.0000, 0.0000, 0.1864) (multiplicity 3)

The calculation puts the calculated density at 6.877 Mg/m³. For the density of states at the Fermi level, the calculation gives 0.8305 states/eV/atom. The calculation puts the calculated total energy at -69.249 eV for the cell shown. The calculation puts the formation energy at 0.101 eV/atom.


No. 5
The following is a DFT calculation (PBE) of crystalline BaCo2Rh at its relaxed geometry.

Unit cell a=4.2356 b=4.2356 c=16.7273 alpha=90.00 beta=90.00 gamma=120.00
Space group R-3m (No. 166, hexagonal axes)
Symmetry-distinct sites (fractional):
Ba (0.0000, 0.0000, 0.0000) (multiplicity 3)
Co (0.0000, 0.0000, 0.1832) (multiplicity 6)
Rh (0.0000, 0.0000, 0.5000) (multiplicity 3)

The calculation puts the calculated density at 6.864 Mg/m³. For the density of states at the Fermi level, the calculation gives 0.7364 states/eV/atom. The calculation puts the calculated total energy at -69.304 eV for the cell shown. The calculation puts the formation energy at 0.096 eV/atom.


No. 6
The following is a DFT calculation (PBE) of crystalline BaCo2Rh at its relaxed geometry.

Unit cell a=4.205 b=4.205 c=4.118 alpha=90.00 beta=90.00 gamma=90.00
Space group P4/mmm (No. 123)
Symmetry-distinct sites (fractional):
Ba (0.000, 0.000, 0.000) (multiplicity 1)
Co (0.000, 0.500, 0.500) (multiplicity 2)
Rh (0.500, 0.500, 0.000) (multiplicity 1)

The calculation puts the calculated density at 8.166 Mg/m³. For the density of states at the Fermi level, the calculation gives 2.0198 states/eV/atom. The calculation puts the calculated total energy at -20.009 eV for the cell shown. The calculation puts the formation energy at 0.869 eV/atom.


No. 7
The following is a DFT calculation (PBE) of crystalline BaCoRh2 at its relaxed geometry.

Unit cell a=5.849 b=9.503 c=3.014 alpha=90.00 beta=116.18 gamma=90.00
Space group C2/m (No. 12)
Symmetry-distinct sites (fractional):
Ba (0.000, 0.000, 0.000) (multiplicity 2)
Co (0.000, 0.500, 0.000) (multiplicity 2)
Rh (0.250, 0.250, 0.500) (multiplicity 4)

The calculation puts the calculated density at 8.880 Mg/m³. For the density of states at the Fermi level, the calculation gives 1.7961 states/eV/atom. The calculation puts the calculated total energy at -41.739 eV for the cell shown. The calculation puts the formation energy at 0.715 eV/atom.


No. 8
The following is a DFT calculation (PBE) of crystalline BaCo2Rh at its relaxed geometry.

Unit cell a=3.188 b=5.291 c=9.186 alpha=90.00 beta=90.00 gamma=90.00
Space group Imm2 (No. 44)
Symmetry-distinct sites (fractional):
Ba (0.000, 0.000, 0.000) (multiplicity 2)
Co (0.000, 0.000, 0.484) (multiplicity 2)
Co (0.000, 0.500, 0.805) (multiplicity 2)
Rh (0.000, 0.500, 0.200) (multiplicity 2)

The calculation puts the calculated density at 7.676 Mg/m³. For the density of states at the Fermi level, the calculation gives 1.1140 states/eV/atom. The calculation puts the calculated total energy at -41.803 eV for the cell shown. The calculation puts the formation energy at 0.646 eV/atom.


No. 9
The following is a DFT calculation (PBE) of crystalline BaCo2Rh at its relaxed geometry.

Unit cell a=6.578 b=6.578 c=6.578 alpha=90.00 beta=90.00 gamma=90.00
Space group Fm-3m (No. 225)
Symmetry-distinct sites (fractional):
Ba (0.000, 0.000, 0.000) (multiplicity 4)
Co (0.250, 0.250, 0.250) (multiplicity 8)
Rh (0.000, 0.000, 0.500) (multiplicity 4)

The calculation puts the calculated density at 8.358 Mg/m³. For the density of states at the Fermi level, the calculation gives 4.0545 states/eV/atom. The calculation puts the calculated total energy at -80.462 eV for the cell shown. The calculation puts the formation energy at 0.843 eV/atom.


No. 10
The following is a DFT calculation (PBE) of crystalline BaCo2Rh at its relaxed geometry.

Unit cell a=3.253 b=3.253 c=7.256 alpha=90.00 beta=90.00 gamma=90.00
Space group P4/mmm (No. 123)
Symmetry-distinct sites (fractional):
Ba (0.000, 0.000, 0.000) (multiplicity 1)
Co (0.500, 0.500, 0.340) (multiplicity 2)
Rh (0.000, 0.000, 0.500) (multiplicity 1)

The calculation puts the calculated density at 7.744 Mg/m³. For the density of states at the Fermi level, the calculation gives 1.2163 states/eV/atom. The calculation puts the calculated total energy at -21.501 eV for the cell shown. The calculation puts the formation energy at 0.496 eV/atom.


No. 11
The following is a DFT calculation (PBE) of crystalline BaCoRh2 at its relaxed geometry.

Unit cell a=4.452 b=4.452 c=7.558 alpha=90.00 beta=90.00 gamma=90.00
Space group I-4m2 (No. 119)
Symmetry-distinct sites (fractional):
Ba (0.000, 0.000, 0.000) (multiplicity 2)
Co (0.000, 0.500, 0.750) (multiplicity 2)
Rh (0.000, 0.000, 0.500) (multiplicity 2)
Rh (0.000, 0.500, 0.250) (multiplicity 2)

The calculation puts the calculated density at 8.915 Mg/m³. For the density of states at the Fermi level, the calculation gives 1.4877 states/eV/atom. The calculation puts the calculated total energy at -42.196 eV for the cell shown. The calculation puts the formation energy at 0.658 eV/atom.


No. 12
The following is a DFT calculation (PBE) of crystalline BaCoRh2 at its relaxed geometry.

Unit cell a=3.176 b=3.176 c=7.533 alpha=90.00 beta=90.00 gamma=90.00
Space group P4/mmm (No. 123)
Symmetry-distinct sites (fractional):
Ba (0.000, 0.000, 0.000) (multiplicity 1)
Co (0.000, 0.000, 0.500) (multiplicity 1)
Rh (0.500, 0.500, 0.323) (multiplicity 2)

The calculation puts the calculated density at 8.785 Mg/m³. For the density of states at the Fermi level, the calculation gives 1.1741 states/eV/atom. The calculation puts the calculated total energy at -22.379 eV for the cell shown. The calculation puts the formation energy at 0.338 eV/atom.


No. 13
The following is a DFT calculation (PBE) of crystalline BaCoRh2 at its relaxed geometry.

Unit cell a=6.695 b=6.695 c=6.695 alpha=90.00 beta=90.00 gamma=90.00
Space group F-43m (No. 216)
Symmetry-distinct sites (fractional):
Ba (0.000, 0.000, 0.000) (multiplicity 4)
Co (0.250, 0.250, 0.250) (multiplicity 4)
Rh (0.000, 0.000, 0.500) (multiplicity 4)
Rh (0.250, 0.250, 0.750) (multiplicity 4)

The calculation puts the calculated density at 8.900 Mg/m³. For the density of states at the Fermi level, the calculation gives 2.0091 states/eV/atom. The calculation puts the calculated total energy at -84.205 eV for the cell shown. The calculation puts the formation energy at 0.670 eV/atom.


No. 14
The following is a DFT calculation (PBE) of crystalline Ba2CoRh2 at its relaxed geometry.

Unit cell a=6.905 b=6.905 c=4.993 alpha=90.00 beta=90.00 gamma=90.00
Space group P4/mbm (No. 127)
Symmetry-distinct sites (fractional):
Ba (0.181, 0.319, 0.000) (multiplicity 4)
Co (0.000, 0.000, 0.500) (multiplicity 2)
Rh (0.142, 0.642, 0.500) (multiplicity 4)

The calculation puts the calculated density at 7.525 Mg/m³. For the density of states at the Fermi level, the calculation gives 0.8647 states/eV/atom. The calculation puts the calculated total energy at -49.024 eV for the cell shown. The calculation puts the formation energy at 0.228 eV/atom.


No. 15
The following is a DFT calculation (PBE) of crystalline BaCo2Rh at its relaxed geometry.

Unit cell a=4.502 b=3.973 c=5.244 alpha=90.00 beta=102.16 gamma=90.00
Space group Pm (No. 6)
Symmetry-distinct sites (fractional):
Ba (0.000, 0.000, 0.000) (multiplicity 1)
Co (0.312, 0.500, 0.600) (multiplicity 1)
Co (0.507, 0.000, 0.495) (multiplicity 1)
Rh (0.795, 0.500, 0.439) (multiplicity 1)

The calculation puts the calculated density at 6.485 Mg/m³. For the density of states at the Fermi level, the calculation gives 1.1306 states/eV/atom. The calculation puts the calculated total energy at -21.848 eV for the cell shown. The calculation puts the formation energy at 0.409 eV/atom.